(1)
# meta-GGA SCAN BeTe4Au, PBEsol geometry
# ΔE_f (raw), eV/atom: 0.9567
# Calculated volume, Å³ per cell: 654
data_BeTe4Au
_cell_length_a 8.678
_cell_length_b 8.678
_cell_length_c 8.678
_cell_angle_alpha 90.00
_cell_angle_beta 90.00
_cell_angle_gamma 90.00
_space_group_name_H-M_alt 'F -4 3 m'
_space_group_IT_number 216
_space_group_name_Hall 'F -4 2 3'
loop_
_atom_site_label
_atom_site_fract_x
_atom_site_fract_y
_atom_site_fract_z
_atom_site_occupancy
Be1 0.000 0.000 0.000 1
Te1 0.125 0.125 0.625 1
Au1 0.250 0.250 0.250 1

***

(2)
# meta-GGA SCAN FeCo5, PBEsol geometry
# Calculated volume, Å³ per cell: 63
data_FeCo5
_cell_length_a 4.2560
_cell_length_b 4.2560
_cell_length_c 3.9986
_cell_angle_alpha 90.00
_cell_angle_beta 90.00
_cell_angle_gamma 120.00
_space_group_name_H-M_alt 'P -6 2 m'
_space_group_IT_number 189
_space_group_name_Hall 'P -6 -2'
loop_
_atom_site_label
_atom_site_fract_x
_atom_site_fract_y
_atom_site_fract_z
_atom_site_occupancy
Fe1 0.0000 0.0000 0.0000 1
Co1 0.0000 0.3365 0.5000 1
Co2 0.3333 0.6667 0.0000 1

***

(3)
# meta-GGA SCAN Pt2Rh, PBEsol geometry
# Calculated volume, Å³ per cell: 88
data_Pt2Rh
_cell_length_a 3.310
_cell_length_b 3.310
_cell_length_c 8.030
_cell_angle_alpha 90.00
_cell_angle_beta 90.00
_cell_angle_gamma 90.00
_space_group_name_H-M_alt 'I 4/m m m'
_space_group_IT_number 139
_space_group_name_Hall '-I 4 2'
loop_
_atom_site_label
_atom_site_fract_x
_atom_site_fract_y
_atom_site_fract_z
_atom_site_occupancy
Pt1 0.000 0.000 0.165 1
Rh1 0.000 0.000 0.500 1

***

(4)
# meta-GGA SCAN Ir3PdRu, PBEsol geometry
# Calculated volume, Å³ per cell: 96
data_Ir3PdRu
_cell_length_a 4.581
_cell_length_b 4.581
_cell_length_c 4.581
_cell_angle_alpha 90.00
_cell_angle_beta 90.00
_cell_angle_gamma 90.00
_space_group_name_H-M_alt 'P m -3 m'
_space_group_IT_number 221
_space_group_name_Hall '-P 4 2 3'
loop_
_atom_site_label
_atom_site_fract_x
_atom_site_fract_y
_atom_site_fract_z
_atom_site_occupancy
Ir1 0.000 0.000 0.500 1
Pd1 0.500 0.500 0.500 1
Ru1 0.000 0.000 0.000 1

***

(5)
# meta-GGA SCAN MoRh2Br, PBEsol geometry
# ΔE_f (raw), eV/atom: 0.2687
# Calculated volume, Å³ per cell: 62
data_MoRh2Br
_cell_length_a 2.850
_cell_length_b 2.850
_cell_length_c 7.655
_cell_angle_alpha 90.00
_cell_angle_beta 90.00
_cell_angle_gamma 90.00
_space_group_name_H-M_alt 'P 4/m m m'
_space_group_IT_number 123
_space_group_name_Hall '-P 4 2'
loop_
_atom_site_label
_atom_site_fract_x
_atom_site_fract_y
_atom_site_fract_z
_atom_site_occupancy
Mo1 0.000 0.000 0.000 1
Rh1 0.500 0.500 0.229 1
Br1 0.000 0.000 0.500 1

***

(6)
# meta-GGA SCAN Zn2NiCl, PBEsol geometry
# ΔE_f (raw), eV/atom: 0.1055
# Calculated volume, Å³ per cell: 119
data_Zn2NiCl
_cell_length_a 11.733
_cell_length_b 2.791
_cell_length_c 3.837
_cell_angle_alpha 90.00
_cell_angle_beta 108.74
_cell_angle_gamma 90.00
_space_group_name_H-M_alt 'C 1 2/m 1'
_space_group_IT_number 12
loop_
_space_group_symop_operation_xyz
'x,y,z'
'-x,-y,-z'
'-x,y,-z'
'x,-y,z'
'x+1/2,y+1/2,z'
'-x+1/2,-y+1/2,-z'
'-x+1/2,y+1/2,-z'
'x+1/2,-y+1/2,z'
loop_
_atom_site_label
_atom_site_fract_x
_atom_site_fract_y
_atom_site_fract_z
_atom_site_occupancy
Zn1 0.200 0.000 0.201 1
Ni1 0.000 0.500 0.000 1
Cl1 0.000 0.000 0.500 1

***

(7)
# meta-GGA SCAN HgIrRu, PBEsol geometry
# Calculated volume, Å³ per cell: 220
data_HgIrRu
_cell_length_a 6.040
_cell_length_b 6.040
_cell_length_c 6.040
_cell_angle_alpha 90.00
_cell_angle_beta 90.00
_cell_angle_gamma 90.00
_space_group_name_H-M_alt 'F -4 3 m'
_space_group_IT_number 216
_space_group_name_Hall 'F -4 2 3'
loop_
_atom_site_label
_atom_site_fract_x
_atom_site_fract_y
_atom_site_fract_z
_atom_site_occupancy
Hg1 0.000 0.000 0.000 1
Ir1 0.250 0.250 0.250 1
Ru1 0.000 0.000 0.500 1

***

(8)
# meta-GGA SCAN LiLaRh3, PBEsol geometry
# Calculated volume, Å³ per cell: 80
data_LiLaRh3
_cell_length_a 4.304
_cell_length_b 4.304
_cell_length_c 4.304
_cell_angle_alpha 90.00
_cell_angle_beta 90.00
_cell_angle_gamma 90.00
_space_group_name_H-M_alt 'P m -3 m'
_space_group_IT_number 221
_space_group_name_Hall '-P 4 2 3'
loop_
_atom_site_label
_atom_site_fract_x
_atom_site_fract_y
_atom_site_fract_z
_atom_site_occupancy
Li1 0.000 0.000 0.000 1
La1 0.500 0.500 0.500 1
Rh1 0.000 0.000 0.500 1

***

(9)
# meta-GGA SCAN Co3PdPb, PBEsol geometry
# Calculated volume, Å³ per cell: 93
data_Co3PdPb
_cell_length_a 4.530
_cell_length_b 4.530
_cell_length_c 4.530
_cell_angle_alpha 90.00
_cell_angle_beta 90.00
_cell_angle_gamma 90.00
_space_group_name_H-M_alt 'P m -3 m'
_space_group_IT_number 221
_space_group_name_Hall '-P 4 2 3'
loop_
_atom_site_label
_atom_site_fract_x
_atom_site_fract_y
_atom_site_fract_z
_atom_site_occupancy
Co1 0.000 0.000 0.500 1
Pd1 0.000 0.000 0.000 1
Pb1 0.500 0.500 0.500 1

***

(10)
# meta-GGA SCAN Li3BiO3, PBEsol geometry
# ΔE_f (raw), eV/atom: -1.6882
# Calculated volume, Å³ per cell: 680
data_Li3BiO3
_cell_length_a 8.792
_cell_length_b 8.792
_cell_length_c 8.792
_cell_angle_alpha 90.00
_cell_angle_beta 90.00
_cell_angle_gamma 90.00
_space_group_name_H-M_alt 'I -4 3 m'
_space_group_IT_number 217
_space_group_name_Hall 'I -4 2 3'
loop_
_atom_site_label
_atom_site_fract_x
_atom_site_fract_y
_atom_site_fract_z
_atom_site_occupancy
Li1 0.086 0.378 0.622 1
Bi1 0.140 0.140 0.860 1
O1 0.126 0.372 0.372 1

***

(11)
# meta-GGA SCAN Li2CoPt, PBEsol geometry
# Calculated volume, Å³ per cell: 98
data_Li2CoPt
_cell_length_a 8.738
_cell_length_b 2.623
_cell_length_c 4.388
_cell_angle_alpha 90.00
_cell_angle_beta 101.85
_cell_angle_gamma 90.00
_space_group_name_H-M_alt 'C 1 2/m 1'
_space_group_IT_number 12
loop_
_space_group_symop_operation_xyz
'x,y,z'
'-x,-y,-z'
'-x,y,-z'
'x,-y,z'
'x+1/2,y+1/2,z'
'-x+1/2,-y+1/2,-z'
'-x+1/2,y+1/2,-z'
'x+1/2,-y+1/2,z'
loop_
_atom_site_label
_atom_site_fract_x
_atom_site_fract_y
_atom_site_fract_z
_atom_site_occupancy
Li1 0.249 0.000 0.249 1
Co1 0.000 0.500 0.000 1
Pt1 0.000 0.000 0.500 1

***

(12)
# meta-GGA SCAN KZnRu, PBEsol geometry
# Calculated volume, Å³ per cell: 129
data_KZnRu
_cell_length_a 3.305
_cell_length_b 3.305
_cell_length_c 11.816
_cell_angle_alpha 90.00
_cell_angle_beta 90.00
_cell_angle_gamma 90.00
_space_group_name_H-M_alt 'I 4 m m'
_space_group_IT_number 107
_space_group_name_Hall 'I 4 -2'
loop_
_atom_site_label
_atom_site_fract_x
_atom_site_fract_y
_atom_site_fract_z
_atom_site_occupancy
K1 0.000 0.000 0.000 1
Zn1 0.000 0.000 0.722 1
Ru1 0.000 0.000 0.283 1

***

(13)
# meta-GGA SCAN LaMn4Al8, PBEsol geometry
# Calculated volume, Å³ per cell: 383
data_LaMn4Al8
_cell_length_a 8.827
_cell_length_b 8.827
_cell_length_c 4.912
_cell_angle_alpha 90.00
_cell_angle_beta 90.00
_cell_angle_gamma 90.00
_space_group_name_H-M_alt 'I 4/m m m'
_space_group_IT_number 139
_space_group_name_Hall '-I 4 2'
loop_
_atom_site_label
_atom_site_fract_x
_atom_site_fract_y
_atom_site_fract_z
_atom_site_occupancy
La1 0.000 0.000 0.000 1
Mn1 0.250 0.250 0.250 1
Al1 0.000 0.223 0.500 1
Al2 0.000 0.344 0.000 1

***

(14)
# meta-GGA SCAN Cu15Si4, PBEsol geometry
# ΔE_f (raw), eV/atom: -0.0976
# Calculated volume, Å³ per cell: 877
data_Cu15Si4
_cell_length_a 9.571
_cell_length_b 9.571
_cell_length_c 9.571
_cell_angle_alpha 90.00
_cell_angle_beta 90.00
_cell_angle_gamma 90.00
_space_group_name_H-M_alt 'I -4 3 d'
_space_group_IT_number 220
_space_group_name_Hall 'I -4bd 2c 3'
loop_
_atom_site_label
_atom_site_fract_x
_atom_site_fract_y
_atom_site_fract_z
_atom_site_occupancy
Cu1 0.000 0.250 0.875 1
Cu2 0.039 0.112 0.663 1
Si1 0.044 0.044 0.044 1

***

(15)
# meta-GGA SCAN Ti3TlOs, PBEsol geometry
# Calculated volume, Å³ per cell: 105
data_Ti3TlOs
_cell_length_a 4.711
_cell_length_b 4.711
_cell_length_c 4.711
_cell_angle_alpha 90.00
_cell_angle_beta 90.00
_cell_angle_gamma 90.00
_space_group_name_H-M_alt 'P m -3 m'
_space_group_IT_number 221
_space_group_name_Hall '-P 4 2 3'
loop_
_atom_site_label
_atom_site_fract_x
_atom_site_fract_y
_atom_site_fract_z
_atom_site_occupancy
Ti1 0.000 0.000 0.500 1
Tl1 0.500 0.500 0.500 1
Os1 0.000 0.000 0.000 1

***

(16)
# meta-GGA SCAN Zn2Ag, PBEsol geometry
# Calculated volume, Å³ per cell: 186
data_Zn2Ag
_cell_length_a 2.749
_cell_length_b 2.749
_cell_length_c 24.638
_cell_angle_alpha 90.00
_cell_angle_beta 90.00
_cell_angle_gamma 90.00
_space_group_name_H-M_alt 'I 41/a m d'
_space_group_IT_number 141
loop_
_space_group_symop_operation_xyz
'x,y,z'
'-x,-y,-z'
'-y+1/4,x+3/4,z+1/4'
'y+1/4,-x+3/4,-z+1/4'
'-x+1/2,-y,z+1/2'
'x+1/2,y,-z+1/2'
'y+1/4,-x+1/4,z+3/4'
'-y+1/4,x+1/4,-z+3/4'
'x,-y,-z'
'-x,y,z'
'-y+1/4,-x+1/4,-z+3/4'
'y+1/4,x+1/4,z+3/4'
'-x+1/2,y,-z+1/2'
'x+1/2,-y,z+1/2'
'y+1/4,x+3/4,-z+1/4'
'-y+1/4,-x+3/4,z+1/4'
'x+1/2,y+1/2,z+1/2'
'-x+1/2,-y+1/2,-z+1/2'
'-y+3/4,x+1/4,z+3/4'
'y+3/4,-x+1/4,-z+3/4'
'-x,-y+1/2,z'
'x,y+1/2,-z'
'y+3/4,-x+3/4,z+1/4'
'-y+3/4,x+3/4,-z+1/4'
'x+1/2,-y+1/2,-z+1/2'
'-x+1/2,y+1/2,z+1/2'
'-y+3/4,-x+3/4,-z+1/4'
'y+3/4,x+3/4,z+1/4'
'-x,y+1/2,-z'
'x,-y+1/2,z'
'y+3/4,x+1/4,-z+3/4'
'-y+3/4,-x+1/4,z+3/4'
loop_
_atom_site_label
_atom_site_fract_x
_atom_site_fract_y
_atom_site_fract_z
_atom_site_occupancy
Zn1 0.000 0.250 0.294 1
Ag1 0.000 0.250 0.875 1

***

(17)
# meta-GGA SCAN Os3PdS, PBEsol geometry
# ΔE_f (raw), eV/atom: 3.0981
# Calculated volume, Å³ per cell: 104
data_Os3PdS
_cell_length_a 4.697
_cell_length_b 4.697
_cell_length_c 4.697
_cell_angle_alpha 90.00
_cell_angle_beta 90.00
_cell_angle_gamma 90.00
_space_group_name_H-M_alt 'P m -3 m'
_space_group_IT_number 221
_space_group_name_Hall '-P 4 2 3'
loop_
_atom_site_label
_atom_site_fract_x
_atom_site_fract_y
_atom_site_fract_z
_atom_site_occupancy
Os1 0.000 0.000 0.500 1
Pd1 0.000 0.000 0.000 1
S1 0.500 0.500 0.500 1

***

(18)
# meta-GGA SCAN LiCd, PBEsol geometry
# Calculated volume, Å³ per cell: 74
data_LiCd
_cell_length_a 2.921
_cell_length_b 4.838
_cell_length_c 5.214
_cell_angle_alpha 90.00
_cell_angle_beta 90.00
_cell_angle_gamma 90.00
_space_group_name_H-M_alt 'P m m n'
_space_group_IT_number 59
loop_
_space_group_symop_operation_xyz
'x,y,z'
'-x,-y,-z'
'-x+1/2,-y+1/2,z'
'x+1/2,y+1/2,-z'
'x+1/2,-y,-z'
'-x+1/2,y,z'
'-x,y+1/2,-z'
'x,-y+1/2,z'
loop_
_atom_site_label
_atom_site_fract_x
_atom_site_fract_y
_atom_site_fract_z
_atom_site_occupancy
Li1 0.250 0.250 0.097 1
Cd1 0.250 0.750 0.390 1

***

(19)
# meta-GGA SCAN AsC3, PBEsol geometry
# Calculated volume, Å³ per cell: 82
data_AsC3
_cell_length_a 2.499
_cell_length_b 4.653
_cell_length_c 7.015
_cell_angle_alpha 90.00
_cell_angle_beta 90.00
_cell_angle_gamma 90.00
_space_group_name_H-M_alt 'I m m m'
_space_group_IT_number 71
_space_group_name_Hall '-I 2 2'
loop_
_atom_site_label
_atom_site_fract_x
_atom_site_fract_y
_atom_site_fract_z
_atom_site_occupancy
As1 0.000 0.000 0.000 1
C1 0.000 0.000 0.500 1
C2 0.000 0.500 0.133 1

***

(20)
# meta-GGA SCAN Mg2AlTc, PBEsol geometry
# Calculated volume, Å³ per cell: 65
data_Mg2AlTc
_cell_length_a 3.896
_cell_length_b 3.896
_cell_length_c 4.295
_cell_angle_alpha 90.00
_cell_angle_beta 90.00
_cell_angle_gamma 90.00
_space_group_name_H-M_alt 'P 4/m m m'
_space_group_IT_number 123
_space_group_name_Hall '-P 4 2'
loop_
_atom_site_label
_atom_site_fract_x
_atom_site_fract_y
_atom_site_fract_z
_atom_site_occupancy
Mg1 0.000 0.500 0.000 1
Al1 0.000 0.000 0.500 1
Tc1 0.500 0.500 0.500 1

***

(21)
# meta-GGA SCAN BaNiRu, PBEsol geometry
# Calculated volume, Å³ per cell: 265
data_BaNiRu
_cell_length_a 6.426
_cell_length_b 6.426
_cell_length_c 6.426
_cell_angle_alpha 90.00
_cell_angle_beta 90.00
_cell_angle_gamma 90.00
_space_group_name_H-M_alt 'F -4 3 m'
_space_group_IT_number 216
_space_group_name_Hall 'F -4 2 3'
loop_
_atom_site_label
_atom_site_fract_x
_atom_site_fract_y
_atom_site_fract_z
_atom_site_occupancy
Ba1 0.000 0.000 0.000 1
Ni1 0.250 0.250 0.750 1
Ru1 0.000 0.000 0.500 1

***

(22)
# meta-GGA SCAN YSc2Ni, PBEsol geometry
# Calculated volume, Å³ per cell: 85
data_YSc2Ni
_cell_length_a 3.281
_cell_length_b 3.281
_cell_length_c 7.867
_cell_angle_alpha 90.00
_cell_angle_beta 90.00
_cell_angle_gamma 90.00
_space_group_name_H-M_alt 'P 4 m m'
_space_group_IT_number 99
loop_
_space_group_symop_operation_xyz
'x,y,z'
'-y,x,z'
'-x,-y,z'
'y,-x,z'
'-x,y,z'
'y,x,z'
'x,-y,z'
'-y,-x,z'
loop_
_atom_site_label
_atom_site_fract_x
_atom_site_fract_y
_atom_site_fract_z
_atom_site_occupancy
Y1 0.000 0.000 0.000 1
Sc1 0.000 0.000 0.394 1
Sc2 0.500 0.500 0.683 1
Ni1 0.500 0.500 0.225 1

***

(23)
# meta-GGA SCAN LiP2, PBEsol geometry
# Calculated volume, Å³ per cell: 219
data_LiP2
_cell_length_a 13.203
_cell_length_b 3.255
_cell_length_c 5.417
_cell_angle_alpha 90.00
_cell_angle_beta 109.68
_cell_angle_gamma 90.00
_space_group_name_H-M_alt 'C 1 2/m 1'
_space_group_IT_number 12
loop_
_space_group_symop_operation_xyz
'x,y,z'
'-x,-y,-z'
'-x,y,-z'
'x,-y,z'
'x+1/2,y+1/2,z'
'-x+1/2,-y+1/2,-z'
'-x+1/2,y+1/2,-z'
'x+1/2,-y+1/2,z'
loop_
_atom_site_label
_atom_site_fract_x
_atom_site_fract_y
_atom_site_fract_z
_atom_site_occupancy
Li1 0.165 0.000 0.215 1
P1 0.080 0.500 0.476 1
P2 0.162 0.000 0.741 1

***

(24)
# meta-GGA SCAN NiRhO2F, PBEsol geometry
# ΔE_f (raw), eV/atom: -0.3083
# Calculated volume, Å³ per cell: 58
data_NiRhO2F
_cell_length_a 3.805
_cell_length_b 3.805
_cell_length_c 4.017
_cell_angle_alpha 90.00
_cell_angle_beta 90.00
_cell_angle_gamma 90.00
_space_group_name_H-M_alt 'P 4/m m m'
_space_group_IT_number 123
_space_group_name_Hall '-P 4 2'
loop_
_atom_site_label
_atom_site_fract_x
_atom_site_fract_y
_atom_site_fract_z
_atom_site_occupancy
Ni1 0.000 0.000 0.000 1
Rh1 0.500 0.500 0.500 1
O1 0.000 0.500 0.500 1
F1 0.500 0.500 0.000 1

***

(25)
# meta-GGA SCAN Ag8As, PBEsol geometry
# Calculated volume, Å³ per cell: 301
data_Ag8As
_cell_length_a 8.575
_cell_length_b 8.575
_cell_length_c 4.099
_cell_angle_alpha 90.00
_cell_angle_beta 90.00
_cell_angle_gamma 90.00
_space_group_name_H-M_alt 'I 4/m m m'
_space_group_IT_number 139
_space_group_name_Hall '-I 4 2'
loop_
_atom_site_label
_atom_site_fract_x
_atom_site_fract_y
_atom_site_fract_z
_atom_site_occupancy
Ag1 0.000 0.334 0.000 1
Ag2 0.167 0.167 0.500 1
As1 0.000 0.000 0.000 1

***

(26)
# meta-GGA SCAN RbSbI2N, PBEsol geometry
# ΔE_f (raw), eV/atom: 0.1983
# Calculated volume, Å³ per cell: 161
data_RbSbI2N
_cell_length_a 6.267
_cell_length_b 6.267
_cell_length_c 4.106
_cell_angle_alpha 90.00
_cell_angle_beta 90.00
_cell_angle_gamma 90.00
_space_group_name_H-M_alt 'P 4/m m m'
_space_group_IT_number 123
_space_group_name_Hall '-P 4 2'
loop_
_atom_site_label
_atom_site_fract_x
_atom_site_fract_y
_atom_site_fract_z
_atom_site_occupancy
Rb1 0.000 0.000 0.000 1
Sb1 0.500 0.500 0.000 1
I1 0.000 0.500 0.500 1
N1 0.500 0.500 0.500 1

***

Computed calculated total energy (eV/cell) in order:
-867.10; -104.24; -348.26; -270.81; -120.81; -101.52; -686.89; -147.40; -154.98; -930.08; -187.19; -109.91; -366.76; -1079.63; -190.99; -232.99; -242.55; -66.47; -81.84; -52.80; -348.80; -73.22; -97.62; -67.49; -541.54; -139.78
Computed size of the total moment (μB per formula unit) in order:
0.00; 11.13; 0.00; 0.00; 0.00; 0.00; 0.00; 0.00; 6.80; 0.00; 1.68; 0.00; 10.03; 0.00; 0.00; 0.00; 7.33; 0.00; 0.00; 1.49; 2.09; 1.64; 0.00; 2.56; 0.00; 1.07